1.
Below is a PBEsol-optimized structure of Co2TeP, with properties calculated at the SCAN level.

Raw formation energy (kJ/mol of formula units): -10
Crystal system: monoclinic

Cell lengths 3.943, 3.943, 5.199 Å; angles 96.78, 96.78, 47.68 degrees
Atoms (fractional coordinates):
Co (0.000, 0.000, 0.000)
Co (0.237, 0.237, 0.674)
Te (0.733, 0.733, 0.268)
P (0.536, 0.536, 0.729)

---

2.
Below is a PBEsol-optimized structure of CoTeP, with properties calculated at the SCAN level.

Raw formation energy (kJ/mol of formula units): 294
Crystal system: cubic

Cell lengths 4.291, 4.291, 4.291 Å; angles 60.00, 60.00, 60.00 degrees
Atoms (fractional coordinates):
Co (0.000, 0.000, 0.000)
Te (0.250, 0.250, 0.250)
P (0.500, 0.500, 0.500)

---

3.
Below is a PBEsol-optimized structure of Co4TeP, with properties calculated at the SCAN level.

Raw formation energy (kJ/mol of formula units): 312
Crystal system: cubic

Cell lengths 4.797, 4.797, 4.797 Å; angles 60.00, 60.00, 60.00 degrees
Atoms (fractional coordinates):
Co (0.124, 0.124, 0.124)
Co (0.124, 0.124, 0.627)
Co (0.124, 0.627, 0.124)
Co (0.627, 0.124, 0.124)
Te (0.500, 0.500, 0.500)
P (0.750, 0.750, 0.750)

---

4.
Below is a PBEsol-optimized structure of ThCo2P2, with properties calculated at the SCAN level.

ΔH_f (0 K) (eV per formula unit): -5.108
Crystal system: tetragonal

Cell lengths 3.980, 3.980, 9.022 Å; angles 90.00, 90.00, 90.00 degrees
Atoms (fractional coordinates):
Th (0.250, 0.250, 0.250)
Th (0.750, 0.750, 0.750)
Co (0.250, 0.250, 0.611)
Co (0.250, 0.750, 0.000)
Co (0.750, 0.250, 0.000)
Co (0.750, 0.750, 0.389)
P (0.250, 0.250, 0.869)
P (0.250, 0.750, 0.500)
P (0.750, 0.250, 0.500)
P (0.750, 0.750, 0.131)

---

5.
Below is a PBEsol-optimized structure of TiCo3P, with properties calculated at the SCAN level.

ΔH_f (0 K) (eV per formula unit): 7.169
Crystal system: cubic

Cell lengths 4.174, 4.174, 4.174 Å; angles 90.00, 90.00, 90.00 degrees
Atoms (fractional coordinates):
Ti (0.000, 0.000, 0.000)
Co (0.000, 0.000, 0.500)
Co (0.000, 0.500, 0.000)
Co (0.500, 0.000, 0.000)
P (0.500, 0.500, 0.500)

---

6.
Below is a PBEsol-optimized structure of Ti2TlCoP, with properties calculated at the SCAN level.

ΔH_f (0 K) (eV per formula unit): -1.058
Crystal system: tetragonal

Cell lengths 4.546, 4.546, 4.116 Å; angles 90.00, 90.00, 90.00 degrees
Atoms (fractional coordinates):
Ti (0.000, 0.500, 0.000)
Ti (0.500, 0.000, 0.000)
Tl (0.000, 0.000, 0.500)
Co (0.500, 0.500, 0.500)
P (0.500, 0.500, 0.000)

---

7.
Below is a PBEsol-optimized structure of TlCoP2, with properties calculated at the SCAN level.

ΔH_f (0 K) (eV per formula unit): -0.085
Offset from the most stable computed form (eV/atom): 0.0432
Crystal system: monoclinic

Cell lengths 4.304, 3.621, 4.875 Å; angles 90.00, 112.65, 90.00 degrees
Atoms (fractional coordinates):
Tl (0.000, 0.000, 0.000)
Co (0.500, 0.000, 0.500)
P (0.278, 0.500, 0.607)
P (0.722, 0.500, 0.393)

---

8.
Below is a PBEsol-optimized structure of TlCoP2, with properties calculated at the SCAN level.

ΔH_f (0 K) (eV per formula unit): 0.713
Offset from the most stable computed form (eV/atom): 0.2425
Crystal system: monoclinic

Cell lengths 3.676, 3.314, 5.831 Å; angles 90.00, 105.66, 90.00 degrees
Atoms (fractional coordinates):
Tl (0.000, 0.000, 0.000)
Co (0.629, 0.500, 0.263)
P (0.200, 0.500, 0.498)
P (0.608, 0.000, 0.515)

---

9.
Below is a PBEsol-optimized structure of TlCoP, with properties calculated at the SCAN level.

ΔH_f (0 K) (eV per formula unit): 2.786
Offset from the most stable computed form (eV/atom): 0.7768
Crystal system: cubic

Cell lengths 4.369, 4.369, 4.369 Å; angles 60.00, 60.00, 60.00 degrees
Atoms (fractional coordinates):
Tl (0.000, 0.000, 0.000)
Co (0.750, 0.750, 0.750)
P (0.250, 0.250, 0.250)

---

10.
Below is a PBEsol-optimized structure of TlCoP2, with properties calculated at the SCAN level.

ΔH_f (0 K) (eV per formula unit): -0.257
Offset from the most stable computed form (eV/atom): 0.0000
Crystal system: monoclinic

Cell lengths 3.697, 3.697, 6.466 Å; angles 103.27, 103.27, 54.48 degrees
Atoms (fractional coordinates):
Tl (0.000, 0.000, 0.000)
Co (0.500, 0.500, 0.500)
P (0.219, 0.219, 0.632)
P (0.781, 0.781, 0.368)

---

11.
Below is a PBEsol-optimized structure of Tl2Co2P, with properties calculated at the SCAN level.

ΔH_f (0 K) (eV per formula unit): 4.730
Crystal system: tetragonal

Cell lengths 6.441, 6.441, 6.441 Å; angles 143.76, 143.76, 52.19 degrees
Atoms (fractional coordinates):
Tl (0.250, 0.750, 0.500)
Tl (0.750, 0.250, 0.500)
Co (0.091, 0.091, 0.000)
Co (0.909, 0.909, 0.000)
P (0.500, 0.500, 0.000)

---

12.
Below is a PBEsol-optimized structure of TlCoP, with properties calculated at the SCAN level.

ΔH_f (0 K) (eV per formula unit): 0.455
Offset from the most stable computed form (eV/atom): 0.0000
Crystal system: trigonal

Cell lengths 3.204, 3.204, 5.704 Å; angles 90.00, 90.00, 120.00 degrees
Atoms (fractional coordinates):
Tl (0.000, 0.000, 0.000)
Co (0.333, 0.667, 0.626)
P (0.667, 0.333, 0.436)

---

Number 1: total moment 0.0 μB/cell. Number 2: total moment 0.0 μB/cell. Number 3: total moment 7.1 μB/cell. Number 4: total moment 1.2 μB/cell. Number 5: total moment 2.6 μB/cell. Number 6: total moment 1.7 μB/cell. Number 7: total moment 0.0 μB/cell. Number 8: total moment 0.0 μB/cell. Number 9: total moment 1.9 μB/cell. Number 10: total moment 0.0 μB/cell. Number 11: total moment 3.7 μB/cell. Number 12: total moment 0.0 μB/cell.